(1)
{"formula": "Ti2B2Ru", "functional": "SCAN", "state": "PBEsol geometry", "dos_ef_per_ev_atom": 0.204, "total_magnetization_mub_per_cell": 0.00, "total_energy_ev_per_cell": -173.2, "lattice": [[5.812, 0.000, 0.000], [0.000, 5.812, 0.000], [0.000, 0.000, 3.165]], "species": ["Ti", "Ti", "Ti", "Ti", "B", "B", "B", "B", "Ru", "Ru"], "fractional_positions": [[0.178, 0.322, 0.000], [0.322, 0.822, 0.000], [0.678, 0.178, 0.000], [0.822, 0.678, 0.000], [0.110, 0.610, 0.500], [0.390, 0.110, 0.500], [0.610, 0.890, 0.500], [0.890, 0.390, 0.500], [0.000, 0.000, 0.500], [0.500, 0.500, 0.500]]}

***

(2)
{"formula": "Sr2LiCa", "functional": "SCAN", "state": "PBEsol geometry", "dos_ef_per_ev_atom": 0.926, "total_magnetization_mub_per_cell": 0.38, "de_polymorph_mev_per_atom": 59, "total_energy_ev_per_cell": -56.3, "lattice": [[-2.163, 3.169, 6.118], [2.163, -3.169, 6.118], [2.163, 3.169, -6.118]], "species": ["Sr", "Sr", "Li", "Ca"], "fractional_positions": [[0.224, 0.224, 0.000], [0.776, 0.776, 0.000], [0.000, 0.500, 0.500], [0.500, 0.000, 0.500]]}

***

(3)
{"formula": "KSb4Se", "functional": "SCAN", "state": "PBEsol geometry", "dos_ef_per_ev_atom": 0.546, "raw_formation_energy_ev_per_atom": 0.025, "total_magnetization_mub_per_cell": 0.00, "total_energy_ev_per_cell": -177.3, "lattice": [[0.000, 4.408, 4.408], [4.408, 0.000, 4.408], [4.408, 4.408, 0.000]], "species": ["K", "Sb", "Sb", "Sb", "Sb", "Se"], "fractional_positions": [[0.000, 0.000, 0.000], [0.381, 0.381, 0.381], [0.381, 0.381, 0.856], [0.381, 0.856, 0.381], [0.856, 0.381, 0.381], [0.750, 0.750, 0.750]]}

***

(4)
{"formula": "Lu2PdAu", "functional": "SCAN", "state": "PBEsol geometry", "dos_ef_per_ev_atom": 0.475, "total_magnetization_mub_per_cell": 0.00, "total_energy_ev_per_cell": -217.0, "lattice": [[0.000, 3.422, 3.422], [3.422, 0.000, 3.422], [3.422, 3.422, 0.000]], "species": ["Lu", "Lu", "Pd", "Au"], "fractional_positions": [[0.250, 0.250, 0.250], [0.750, 0.750, 0.750], [0.000, 0.000, 0.000], [0.500, 0.500, 0.500]]}

***

(5)
{"formula": "ZnSb2Pt", "functional": "SCAN", "state": "PBEsol geometry", "dos_ef_per_ev_atom": 0.394, "raw_formation_energy_ev_per_atom": 0.207, "total_magnetization_mub_per_cell": 0.00, "total_energy_ev_per_cell": -157.4, "lattice": [[-2.161, 2.161, 4.248], [2.161, -2.161, 4.248], [2.161, 2.161, -4.248]], "species": ["Zn", "Sb", "Sb", "Pt"], "fractional_positions": [[0.000, 0.000, 0.000], [0.250, 0.750, 0.500], [0.500, 0.500, 0.000], [0.750, 0.250, 0.500]]}

***

(6)
{"formula": "CdSiTcH2", "functional": "SCAN", "state": "PBEsol geometry", "dos_ef_per_ev_atom": 0.436, "total_magnetization_mub_per_cell": 2.95, "total_energy_ev_per_cell": -76.7, "lattice": [[3.686, 0.000, 0.000], [0.000, 3.686, 0.000], [0.000, 0.000, 5.396]], "species": ["Cd", "Si", "Tc", "H", "H"], "fractional_positions": [[0.000, 0.000, 0.000], [0.000, 0.000, 0.500], [0.500, 0.500, 0.000], [0.000, 0.500, 0.500], [0.500, 0.000, 0.500]]}

***

(7)
{"formula": "MgRh3", "functional": "SCAN", "state": "PBEsol geometry", "dos_ef_per_ev_atom": 0.940, "total_magnetization_mub_per_cell": 0.00, "total_energy_ev_per_cell": -107.0, "lattice": [[2.740, 0.000, 0.000], [0.000, 3.796, 0.000], [0.000, 0.000, 5.424]], "species": ["Mg", "Rh", "Rh", "Rh"], "fractional_positions": [[0.000, 0.000, 0.000], [0.000, 0.000, 0.500], [0.500, 0.500, 0.258], [0.500, 0.500, 0.742]]}

***

(8)
{"formula": "Rb3BaSe", "functional": "SCAN", "state": "PBEsol geometry", "dos_ef_per_ev_atom": 1.608, "raw_formation_energy_ev_per_atom": 0.558, "total_magnetization_mub_per_cell": 2.56, "total_energy_ev_per_cell": -119.1, "lattice": [[7.276, 0.000, 0.000], [0.000, 7.276, 0.000], [0.000, 0.000, 7.276]], "species": ["Rb", "Rb", "Rb", "Ba", "Se"], "fractional_positions": [[0.000, 0.000, 0.500], [0.000, 0.500, 0.000], [0.500, 0.000, 0.000], [0.000, 0.000, 0.000], [0.500, 0.500, 0.500]]}

***

(9)
{"formula": "Si3Tc2", "functional": "SCAN", "state": "PBEsol geometry", "dos_ef_per_ev_atom": 0.828, "raw_formation_energy_ev_per_atom": -0.166, "total_magnetization_mub_per_cell": 0.00, "total_energy_ev_per_cell": -101.0, "lattice": [[1.441, 0.832, 9.423], [-1.441, 0.832, 9.423], [0.000, -1.664, 9.423]], "species": ["Si", "Si", "Si", "Tc", "Tc"], "fractional_positions": [[0.000, 0.000, 0.000], [0.202, 0.202, 0.202], [0.798, 0.798, 0.798], [0.401, 0.401, 0.401], [0.599, 0.599, 0.599]]}

***

(10)
{"formula": "TiAs2OsSe", "functional": "SCAN", "state": "PBEsol geometry", "dos_ef_per_ev_atom": 0.562, "raw_formation_energy_ev_per_atom": 1.062, "total_magnetization_mub_per_cell": 2.35, "total_energy_ev_per_cell": -143.1, "lattice": [[4.741, 0.000, 0.000], [0.000, 4.741, 0.000], [0.000, 0.000, 4.654]], "species": ["Ti", "As", "As", "Os", "Se"], "fractional_positions": [[0.000, 0.000, 0.000], [0.000, 0.500, 0.000], [0.500, 0.000, 0.000], [0.500, 0.500, 0.500], [0.000, 0.000, 0.500]]}

***

(11)
{"formula": "Sr2AgPb", "functional": "SCAN", "state": "PBEsol geometry", "dos_ef_per_ev_atom": 0.511, "total_magnetization_mub_per_cell": 0.00, "total_energy_ev_per_cell": -153.1, "lattice": [[3.940, 0.000, 0.000], [0.000, 5.386, 0.000], [0.000, 0.000, 6.579]], "species": ["Sr", "Sr", "Ag", "Pb"], "fractional_positions": [[0.000, 0.000, 0.000], [0.500, 0.500, 0.492], [0.000, 0.000, 0.501], [0.500, 0.500, 0.991]]}

***

(12)
{"formula": "Na4MoS3O14", "functional": "SCAN", "state": "PBEsol geometry", "dos_ef_per_ev_atom": 0.000, "raw_formation_energy_ev_per_atom": -1.957, "total_magnetization_mub_per_cell": 0.67, "total_energy_ev_per_cell": -843.7, "lattice": [[8.535, 0.000, 0.000], [0.000, 9.314, 0.000], [0.000, 0.000, 15.072]], "species": ["Na", "Na", "Na", "Na", "Na", "Na", "Na", "Na", "Na", "Na", "Na", "Na", "Na", "Na", "Na", "Na", "Mo", "Mo", "Mo", "Mo", "S", "S", "S", "S", "S", "S", "S", "S", "S", "S", "S", "S", "O", "O", "O", "O", "O", "O", "O", "O", "O", "O", "O", "O", "O", "O", "O", "O", "O", "O", "O", "O", "O", "O", "O", "O", "O", "O", "O", "O", "O", "O", "O", "O", "O", "O", "O", "O", "O", "O", "O", "O", "O", "O", "O", "O", "O", "O", "O", "O", "O", "O", "O", "O", "O", "O", "O", "O"], "fractional_positions": [[0.064, 0.035, 0.288], [0.169, 0.988, 0.030], [0.198, 0.260, 0.683], [0.200, 0.577, 0.835], [0.300, 0.423, 0.335], [0.302, 0.740, 0.183], [0.331, 0.012, 0.530], [0.436, 0.965, 0.788], [0.564, 0.465, 0.712], [0.669, 0.512, 0.970], [0.698, 0.240, 0.317], [0.700, 0.923, 0.165], [0.800, 0.077, 0.665], [0.802, 0.760, 0.817], [0.831, 0.488, 0.470], [0.936, 0.535, 0.212], [0.225, 0.608, 0.573], [0.275, 0.392, 0.073], [0.725, 0.892, 0.427], [0.775, 0.108, 0.927], [0.029, 0.641, 0.013], [0.076, 0.704, 0.382], [0.130, 0.876, 0.706], [0.370, 0.124, 0.206], [0.424, 0.296, 0.882], [0.471, 0.359, 0.513], [0.529, 0.859, 0.987], [0.576, 0.796, 0.618], [0.630, 0.624, 0.294], [0.870, 0.376, 0.794], [0.924, 0.204, 0.118], [0.971, 0.141, 0.487], [0.003, 0.200, 0.575], [0.032, 0.408, 0.768], [0.055, 0.519, 0.555], [0.069, 0.551, 0.356], [0.078, 0.242, 0.076], [0.108, 0.743, 0.071], [0.109, 0.077, 0.445], [0.112, 0.795, 0.305], [0.115, 0.773, 0.626], [0.146, 0.515, 0.993], [0.202, 0.473, 0.167], [0.202, 0.725, 0.451], [0.214, 0.004, 0.675], [0.221, 0.803, 0.775], [0.279, 0.197, 0.275], [0.286, 0.996, 0.175], [0.298, 0.275, 0.951], [0.298, 0.527, 0.667], [0.354, 0.485, 0.493], [0.385, 0.227, 0.126], [0.388, 0.205, 0.805], [0.391, 0.923, 0.945], [0.392, 0.257, 0.571], [0.422, 0.758, 0.576], [0.431, 0.449, 0.856], [0.445, 0.481, 0.055], [0.468, 0.592, 0.268], [0.497, 0.800, 0.075], [0.503, 0.300, 0.425], [0.532, 0.092, 0.232], [0.555, 0.981, 0.445], [0.569, 0.949, 0.644], [0.578, 0.258, 0.924], [0.608, 0.757, 0.929], [0.609, 0.423, 0.555], [0.612, 0.705, 0.695], [0.615, 0.727, 0.374], [0.646, 0.985, 0.007], [0.702, 0.027, 0.833], [0.702, 0.775, 0.549], [0.714, 0.496, 0.325], [0.721, 0.697, 0.225], [0.779, 0.303, 0.725], [0.786, 0.504, 0.825], [0.798, 0.225, 0.049], [0.798, 0.973, 0.333], [0.854, 0.015, 0.507], [0.885, 0.273, 0.874], [0.888, 0.295, 0.195], [0.891, 0.577, 0.055], [0.892, 0.243, 0.429], [0.922, 0.742, 0.424], [0.931, 0.051, 0.144], [0.945, 0.019, 0.945], [0.968, 0.908, 0.732], [0.997, 0.700, 0.925]]}